[1]
Compound: PmErPt2
Source: Alexandria
Functional: PBE-GGA
Structure: optimized geometry

The structure in POSCAR format:
```
PmErPt2
1.0
3.515 0.000 0.000
0.000 3.515 0.000
0.000 0.000 7.091
Pm Pt Er
1 2 1
direct
0.500 0.500 0.500 Pm
0.000 0.000 0.767 Pt
0.000 0.000 0.233 Pt
0.500 0.500 0.000 Er
```

* distance to the lowest polymorph of the same formula: 0.070 eV/atom
* SG: P4/mmm, No. 123
* spin magnetization: 0.00 μB/f.u.

---

[2]
Compound: Pm2Er3Pt4
Source: Alexandria
Functional: PBE-GGA
Structure: optimized geometry

The structure in POSCAR format:
```
Pm2Er3Pt4
1.0
7.234 0.000 0.000
0.000 7.749 0.000
-3.617 0.000 7.864
Pm Er Pt
4 6 8
direct
0.100 0.599 0.199 Pm
0.900 0.401 0.801 Pm
0.400 0.099 0.801 Pm
0.600 0.901 0.199 Pm
0.000 0.000 0.000 Er
0.500 0.500 0.000 Er
0.537 0.750 0.574 Er
0.963 0.250 0.426 Er
0.463 0.250 0.426 Er
0.037 0.750 0.574 Er
0.714 0.750 0.928 Pt
0.786 0.250 0.072 Pt
0.286 0.250 0.072 Pt
0.214 0.750 0.928 Pt
0.192 0.951 0.384 Pt
0.808 0.049 0.616 Pt
0.308 0.451 0.616 Pt
0.692 0.549 0.384 Pt
```

* distance to the lowest polymorph of the same formula: 0.149 eV/atom
* SG: Cmce, No. 64
* spin magnetization: 0.00 μB/f.u.

---

Q: Which of these has the lowest distance to the lowest polymorph of the same formula?
A: PmErPt2

---

Please write out number 1 again, unchanged.
Compound: PmErPt2
Source: Alexandria
Functional: PBE-GGA
Structure: optimized geometry

The structure in POSCAR format:
```
PmErPt2
1.0
3.515 0.000 0.000
0.000 3.515 0.000
0.000 0.000 7.091
Pm Pt Er
1 2 1
direct
0.500 0.500 0.500 Pm
0.000 0.000 0.767 Pt
0.000 0.000 0.233 Pt
0.500 0.500 0.000 Er
```

* distance to the lowest polymorph of the same formula: 0.070 eV/atom
* SG: P4/mmm, No. 123
* spin magnetization: 0.00 μB/f.u.

---

Q: Which of these has the highest distance to the lowest polymorph of the same formula?
A: Pm2Er3Pt4